Record 1
Compound: CaTlHg
Source: Alexandria
Functional: PBE
Structure: optimized geometry

The structure in POSCAR format:
```
CaTlHg
1.0
-0.234 3.522 3.637
-4.158 0.406 2.870
0.141 -1.378 4.875
Ca Tl Hg
1 1 1
Cartesian
-2.125 1.275 5.691
0.000 0.000 0.000
-1.063 0.638 2.846
```

Summary:
For the calculated total energy, the calculation gives -1.861 eV/atom. The calculation puts the magnetic moment at 0.00 μB per cell.

Record 2
Compound: CaTl3Hg2
Source: Alexandria
Functional: PBE
Structure: optimized geometry

The structure in POSCAR format:
```
CaTl3Hg2
1.0
-4.782 2.636 -3.415
4.790 -3.079 -3.010
-2.675 -4.459 0.304
Hg Tl Ca
2 3 1
Cartesian
-1.591 0.731 -3.280
1.599 -1.174 -3.145
1.057 -3.769 -1.353
-3.728 -0.912 -1.556
-1.334 -2.451 -3.061
0.000 0.000 0.000
```

Summary:
For the calculated total energy, the calculation gives -1.668 eV/atom. Its energy above the most stable polymorph in this dataset is 0.089 eV/atom. The calculation puts the magnetic moment at 0.00 μB per cell.

Record 3
Compound: CaTl6Hg
Source: Alexandria
Functional: PBE
Structure: optimized geometry

The structure in POSCAR format:
```
CaTl6Hg
1.0
-1.979 -2.877 -4.511
-5.711 -1.255 3.306
-4.681 4.721 -0.957
Tl Ca Hg
6 1 1
Cartesian
-2.485 0.829 0.562
-4.963 3.086 0.210
-3.845 -2.066 -0.603
-3.330 0.922 -2.734
-7.907 2.638 1.787
-5.430 0.381 2.139
-0.990 -1.438 -2.256
-6.186 0.295 -1.081
```

Summary:
For the calculated total energy, the calculation gives -2.159 eV/atom. Its energy above the most stable polymorph in this dataset is 0.000 eV/atom. The calculation puts the magnetic moment at 0.00 μB per cell.